# AgRh

Crystalline AgRh at its relaxed geometry (PBE, the Alexandria database).

M_tot: 1.3 μB/f.u.
formation energy from the elements: 1.701 eV/atom

Cell lengths 7.261, 7.261, 7.261 Å; angles 90.00, 90.00, 90.00 degrees
Each line ends with the local moment (μB).
Element x y z (fractional)
Ag1 0.250 0.000 0.500  0.16
Ag2 0.750 0.000 0.500  0.16
Ag3 0.000 0.500 0.250  0.16
Ag4 0.000 0.500 0.750  0.16
Ag5 0.500 0.250 0.000  0.16
Ag6 0.500 0.750 0.000  0.16
Rh1 0.250 0.500 0.000  1.10
Rh2 0.750 0.500 0.000  1.10
Rh3 0.500 0.000 0.250  1.10
Rh4 0.500 0.000 0.750  1.10
Rh5 0.000 0.250 0.500  1.10
Rh6 0.000 0.750 0.500  1.10